! SiS2F PBE-GGA optimized geometry; values from VASP
&SYSTEM
  ibrav = 0, nat = 4, ntyp = 3
/
ATOMIC_SPECIES
Si 28.09 Si.upf
S 32.06 S.upf
F 19.00 F.upf
CELL_PARAMETERS angstrom
1.346 0.777 8.463
-1.346 0.777 8.463
0.000 -1.555 8.463
ATOMIC_POSITIONS crystal
Si 0.000 0.000 0.000
S 0.089 0.089 0.089
S 0.911 0.911 0.911
F 0.500 0.500 0.500
! theoretical density: 3.5 g/cm3
! distance to the lowest polymorph of the same formula: 2.645 eV per formula unit
! formation energy (no corrections): 0.20 eV/atom
! electronic total energy: -14.7 eV for the cell shown